Record 1
# AcCuPF (PBE, optimized geometry)
data_AcCuPF
_cell_length_a 4.049
_cell_length_b 4.049
_cell_length_c 8.747
_cell_angle_alpha 90.00
_cell_angle_beta 90.00
_cell_angle_gamma 90.00
_space_group_name_H-M_alt 'P 4/n m m'
_space_group_IT_number 129
loop_
_space_group_symop_operation_xyz
'x,y,z'
'-x,-y,-z'
'-y+1/2,x,z'
'y+1/2,-x,-z'
'-x+1/2,-y+1/2,z'
'x+1/2,y+1/2,-z'
'y,-x+1/2,z'
'-y,x+1/2,-z'
'x+1/2,-y,-z'
'-x+1/2,y,z'
'-y,-x,-z'
'y,x,z'
'-x,y+1/2,-z'
'x,-y+1/2,z'
'y+1/2,x+1/2,-z'
'-y+1/2,-x+1/2,z'
loop_
_atom_site_label
_atom_site_fract_x
_atom_site_fract_y
_atom_site_fract_z
Ac1 0.250 0.250 0.197
Cu1 0.250 0.750 0.500
P1 0.250 0.250 0.657
F1 0.250 0.750 0.000
# Formation energy from raw total energies   -1979 meV per atom



Record 2
# AcCu2PbF8 (PBE, optimized geometry)
data_AcCu2PbF8
_cell_length_a 5.740
_cell_length_b 5.740
_cell_length_c 11.724
_cell_angle_alpha 90.00
_cell_angle_beta 90.00
_cell_angle_gamma 90.00
_space_group_name_H-M_alt 'I -4'
_space_group_IT_number 82
_space_group_name_Hall 'I -4'
loop_
_atom_site_label
_atom_site_fract_x
_atom_site_fract_y
_atom_site_fract_z
Ac1 0.000 0.000 0.000
Cu1 0.000 0.000 0.500
Cu2 0.000 0.500 0.250
Pb1 0.000 0.500 0.750
F1 0.146 0.783 0.177
F2 0.151 0.284 0.568
# Formation energy from raw total energies   -2533 meV per atom



Record 3
# RbAc2CuF8 (PBE, optimized geometry)
data_RbAc2CuF8
_cell_length_a 4.201
_cell_length_b 6.205
_cell_length_c 8.671
_cell_angle_alpha 89.80
_cell_angle_beta 89.93
_cell_angle_gamma 80.40
_space_group_name_H-M_alt 'P -1'
_space_group_IT_number 2
_space_group_name_Hall '-P 1'
loop_
_atom_site_label
_atom_site_fract_x
_atom_site_fract_y
_atom_site_fract_z
Rb1 0.000 0.000 0.000
Ac1 0.500 0.499 0.251
Cu1 0.000 0.000 0.500
F1 0.055 0.276 0.254
F2 0.055 0.280 0.747
F3 0.354 0.743 0.499
F4 0.476 0.297 0.000
# Formation energy from raw total energies   -3355 meV per atom



Record 4
# RbAcCu2F8 (PBE, optimized geometry)
data_RbAcCu2F8
_cell_length_a 5.4865
_cell_length_b 5.4865
_cell_length_c 9.0936
_cell_angle_alpha 90.00
_cell_angle_beta 90.00
_cell_angle_gamma 120.00
_space_group_name_H-M_alt 'P -3'
_space_group_IT_number 147
_space_group_name_Hall '-P 3'
loop_
_atom_site_label
_atom_site_fract_x
_atom_site_fract_y
_atom_site_fract_z
Rb1 0.0000 0.0000 0.0000
Ac1 0.0000 0.0000 0.5000
Cu1 0.3333 0.6667 0.7848
F1 0.0413 0.3508 0.6747
F2 0.3333 0.6667 0.9877
# Formation energy from raw total energies   -2440 meV per atom



Record 5
# Rb2AcCu3F12 (PBE, optimized geometry)
data_Rb2AcCu3F12
_cell_length_a 7.6986
_cell_length_b 7.6986
_cell_length_c 16.5640
_cell_angle_alpha 90.00
_cell_angle_beta 90.00
_cell_angle_gamma 120.00
_space_group_name_H-M_alt 'R -3 m'
_space_group_IT_number 166
_space_group_name_Hall '-R 3 2"'
loop_
_atom_site_label
_atom_site_fract_x
_atom_site_fract_y
_atom_site_fract_z
Rb1 0.0000 0.0000 0.1085
Ac1 0.0000 0.0000 0.5000
Cu1 0.0000 0.5000 0.0000
F1 0.0292 0.5146 0.8848
F2 0.0889 0.5445 0.3099
# Formation energy from raw total energies   -2419 meV per atom



Record 6
# SrAcCu2F8 (PBE, optimized geometry)
data_SrAcCu2F8
_cell_length_a 5.703
_cell_length_b 5.703
_cell_length_c 11.643
_cell_angle_alpha 90.00
_cell_angle_beta 90.00
_cell_angle_gamma 90.00
_space_group_name_H-M_alt 'I -4'
_space_group_IT_number 82
_space_group_name_Hall 'I -4'
loop_
_atom_site_label
_atom_site_fract_x
_atom_site_fract_y
_atom_site_fract_z
Sr1 0.000 0.000 0.000
Ac1 0.000 0.500 0.250
Cu1 0.000 0.000 0.500
Cu2 0.000 0.500 0.750
F1 0.149 0.786 0.821
F2 0.150 0.284 0.427
# Formation energy from raw total energies   -2922 meV per atom



Record 7
# AcTlCuF6 (PBE, optimized geometry)
data_AcTlCuF6
_cell_length_a 7.987
_cell_length_b 8.199
_cell_length_c 10.110
_cell_angle_alpha 90.00
_cell_angle_beta 90.00
_cell_angle_gamma 90.00
_space_group_name_H-M_alt 'I m m a'
_space_group_IT_number 74
_space_group_name_Hall '-I 2b 2'
loop_
_atom_site_label
_atom_site_fract_x
_atom_site_fract_y
_atom_site_fract_z
Ac1 0.000 0.000 0.000
Tl1 0.000 0.250 0.440
Cu1 0.250 0.250 0.750
F1 0.000 0.250 0.136
F2 0.000 0.250 0.856
F3 0.223 0.080 0.616
# Formation energy from raw total energies   -2733 meV per atom



Record 8
AcFeCu2H6: optimized geometry, PBE.

CIF file:
```
data_AcFeCu2H6
_cell_length_a 7.957
_cell_length_b 4.594
_cell_length_c 5.709
_cell_angle_alpha 90.00
_cell_angle_beta 117.58
_cell_angle_gamma 90.00
_space_group_name_H-M_alt 'C 1 2/m 1'
_space_group_IT_number 12
_space_group_name_Hall '-C 2y'
loop_
_atom_site_label
_atom_site_fract_x
_atom_site_fract_y
_atom_site_fract_z
Ac1 0.000 0.000 0.000
Fe1 0.000 0.500 0.500
Cu1 0.201 0.000 0.605
H1 0.064 0.500 0.262
H2 0.151 0.286 0.739
```



Record 9
AcFeCuH6: optimized geometry, PBE.

CIF file:
```
data_AcFeCuH6
_cell_length_a 4.6195
_cell_length_b 4.6195
_cell_length_c 4.5033
_cell_angle_alpha 90.00
_cell_angle_beta 90.00
_cell_angle_gamma 120.00
_space_group_name_H-M_alt 'P -6 m 2'
_space_group_IT_number 187
_space_group_name_Hall 'P -6 2'
loop_
_atom_site_label
_atom_site_fract_x
_atom_site_fract_y
_atom_site_fract_z
Ac1 0.0000 0.0000 0.0000
Fe1 0.3333 0.6667 0.5000
Cu1 0.6667 0.3333 0.5000
H1 0.0257 0.5128 0.2664
```



Record 10
Ac2FeCuH6: optimized geometry, PBE.

CIF file:
```
data_Ac2FeCuH6
_cell_length_a 7.700
_cell_length_b 7.723
_cell_length_c 5.449
_cell_angle_alpha 90.00
_cell_angle_beta 134.83
_cell_angle_gamma 90.00
_space_group_name_H-M_alt 'C 1 2/m 1'
_space_group_IT_number 12
_space_group_name_Hall '-C 2y'
loop_
_atom_site_label
_atom_site_fract_x
_atom_site_fract_y
_atom_site_fract_z
Ac1 0.000 0.250 0.000
Fe1 0.000 0.000 0.500
Cu1 0.000 0.500 0.500
H1 0.000 0.217 0.500
H2 0.216 0.000 0.499
H3 0.216 0.000 0.932
```



Number 1: final energy -5.85 eV per atom. Number 2: final energy -5.12 eV per atom. Number 3: final energy -5.71 eV per atom. Number 4: final energy -4.79 eV per atom. Number 5: final energy -4.68 eV per atom. Number 6: final energy -5.34 eV per atom. Number 7: final energy -5.16 eV per atom. Number 8: final energy -4.28 eV per atom. Number 9: final energy -4.36 eV per atom. Number 10: final energy -4.39 eV per atom.